Material: Pr2TmScSe4
Method: DFT, PBE
State: relaxed

Cell and atoms, written as POSCAR:
```
Pr2TmScSe4
1.0
6.991 0.000 0.000
0.000 4.020 0.000
-2.317 0.000 6.984
Pr Tm Sc Se
2 1 1 4
Cartesian
0.000 0.000 0.000
3.496 2.010 0.000
-1.158 2.010 3.492
2.337 0.000 3.492
0.042 0.000 5.055
1.205 2.010 1.953
3.470 2.010 5.031
4.632 0.000 1.930
```

Output
D(E_F) = 3.6 states/eV per cell
energy = -6.023 eV/atom
crystal system = monoclinic
formation energy from raw total energies = -1735.2 meV/atom


Material: Sc2Fe2H
Method: DFT, PBE
State: relaxed

Cell and atoms, written as POSCAR:
```
Sc2Fe2H
1.0
5.767 0.000 0.000
0.000 5.767 0.000
0.000 0.000 4.029
Sc Fe H
4 4 2
Cartesian
0.967 1.917 0.000
1.917 4.800 0.000
3.851 0.967 0.000
4.800 3.851 0.000
0.921 3.804 2.014
1.963 0.921 2.014
3.804 4.847 2.014
4.847 1.963 2.014
0.000 0.000 2.014
2.884 2.884 2.014
```

Output
D(E_F) = 7.1 states/eV per cell
energy = -6.197 eV/atom
crystal system = tetragonal
E above lowest polymorph = 0.000 kcal/mol of atoms


Material: Pm4Sm5Mg2
Method: DFT, PBE
State: relaxed

Cell and atoms, written as POSCAR:
```
Pm4Sm5Mg2
1.0
8.818 0.000 0.000
0.000 3.493 0.000
-0.817 0.000 11.573
Pm Sm Mg
4 5 2
Cartesian
0.985 0.000 4.473
1.727 0.000 11.017
6.274 0.000 0.555
7.016 0.000 7.100
1.266 1.746 7.734
3.618 1.746 2.383
4.000 1.746 5.786
4.383 1.746 9.189
6.735 1.746 3.839
0.355 1.746 1.521
7.646 1.746 10.052
```

Output
D(E_F) = 15.8 states/eV per cell
energy = -4.093 eV/atom
crystal system = monoclinic
formation energy from the elements = 0.07 eV/atom
E above lowest polymorph = 0.357 kcal/mol of atoms


Material: CaAg4Rh
Method: DFT, PBE
State: relaxed

Cell and atoms, written as POSCAR:
```
CaAg4Rh
1.0
0.000 3.879 3.879
3.879 0.000 3.879
3.879 3.879 0.000
Ca Ag Rh
1 4 1
Cartesian
0.000 0.000 0.000
2.912 2.912 2.912
4.846 4.846 2.912
4.846 2.912 4.846
2.912 4.846 4.846
5.819 5.819 5.819
```

Output
D(E_F) = 3.0 states/eV per cell
energy = -3.459 eV/atom
crystal system = cubic
formation energy from the elements = 0.00 eV/atom


Material: SrMgGa2Cu
Method: DFT, PBE
State: relaxed

Cell and atoms, written as POSCAR:
```
SrMgGa2Cu
1.0
4.833 0.000 0.000
0.000 4.833 0.000
0.000 0.000 4.918
Sr Mg Ga Cu
1 1 2 1
Cartesian
0.000 0.000 0.000
2.416 2.416 0.000
0.000 2.416 2.459
2.416 0.000 2.459
2.416 2.416 2.459
```

Output
D(E_F) = 3.0 states/eV per cell
energy = -2.810 eV/atom
crystal system = tetragonal
formation energy from the elements = -0.12 eV/atom
E above lowest polymorph = 4.329 kcal/mol of atoms


Material: LiCrAg2
Method: DFT, PBE
State: relaxed

Cell and atoms, written as POSCAR:
```
LiCrAg2
1.0
2.919 0.000 0.000
0.000 4.147 0.000
0.000 0.000 5.658
Li Cr Ag
1 1 2
Cartesian
0.000 0.000 0.000
1.460 2.074 4.122
0.000 0.000 2.830
1.460 2.074 1.255
```

Output
D(E_F) = 1.5 states/eV per cell
energy = -4.073 eV/atom
crystal system = orthorhombic
formation energy from the elements = 0.24 eV/atom
E above lowest polymorph = 1.876 kcal/mol of atoms